Compound: Sr3Cd2Bi3
Source: Alexandria
Functional: PBE
Structure: optimized geometry

Unit cell a=4.579 b=5.352 c=11.381 alpha=76.35 beta=78.27 gamma=89.94
Fractional positions:
Sr (0.130, 0.631, 0.739)
Sr (0.870, 0.369, 0.261)
Cd (0.748, 0.748, 0.503)
Sr (0.000, 0.000, 0.000)
Bi (0.653, 0.154, 0.693)
Bi (0.347, 0.846, 0.307)
Cd (0.252, 0.252, 0.497)
Bi (0.500, 0.500, 0.000)

Results
Energy of formation: -4.35 eV/f.u.
Raw total energy: -2.86 eV per atom